A PBEsol-optimized structure of NaHf2InN, computed with SCAN.

M_tot   0.002 μB per cell
Uncorrected formation energy   2.46 eV/atom
VASP energy   -2.351 Ry per atom
Fermi-level density of states   3.95 states/eV per cell
Crystal system   tetragonal

Cell and atoms, written as POSCAR:
```
NaHf2InN
1.0
4.722 0.000 0.000
0.000 4.869 0.000
0.000 0.000 4.869
Hf Na In N
2 1 1 1
direct
0.000 0.000 0.500
0.000 0.500 0.000
0.000 0.000 0.000
0.500 0.000 0.000
0.500 0.500 0.500
```